# Ac2MgAl3Pd4

Ac2MgAl3Pd4 after structural relaxation (PBE, Alexandria).

Cell and atoms, written as CIF:
```
data_Ac2MgAl3Pd4
_symmetry_space_group_name_H-M 'P -4 m 2'
_symmetry_Int_Tables_number 115
_cell_length_a 4.5172
_cell_length_b 4.5172
_cell_length_c 10.4731
_cell_angle_alpha 90.00
_cell_angle_beta 90.00
_cell_angle_gamma 90.00
loop_
_symmetry_equiv_pos_as_xyz
'x,y,z'
'y,-x,-z'
'-x,-y,z'
'-y,x,-z'
'-x,y,z'
'-y,-x,-z'
'x,-y,z'
'y,x,-z'
loop_
_atom_site_label
_atom_site_fract_x
_atom_site_fract_y
_atom_site_fract_z
_atom_site_occupancy
Ac1 0.0000 0.5000 0.2414 1
Mg1 0.0000 0.0000 0.5000 1
Al1 0.0000 0.5000 0.8872 1
Al2 0.5000 0.5000 0.5000 1
Pd1 0.0000 0.0000 0.0000 1
Pd2 0.0000 0.5000 0.6390 1
Pd3 0.5000 0.5000 0.0000 1
```

## Properties
- energy relative to the elements (meV per atom) = -797
- total DFT energy (no corrections) (Ry/atom) = -0.366